[1]
This record from the Alexandria database describes an optimized crystal structure of Cs2HBr. The functional is PBE.

```
Cs2HBr
1.0
4.148 0.000 0.000
0.000 4.148 0.000
0.000 0.000 8.377
Cs H Br
2 1 1
Direct
0.000 0.000 0.231
0.000 0.000 0.769
0.500 0.500 0.000
0.500 0.500 0.500
```

Total moment, μB/atom: 0.00
Space group: P4/mmm
Volume, Å³ per atom: 36.03
E_tot, eV/cell: -10.4



[2]
This record from the Alexandria database describes an optimized crystal structure of Cs2HBr. The functional is PBE.

```
Cs2HBr
1.0
2.390 1.380 8.321
-2.390 1.380 8.321
0.000 -2.759 8.321
Cs H Br
2 1 1
Direct
0.000 0.000 0.000
0.188 0.188 0.188
0.594 0.594 0.594
0.427 0.427 0.427
```

Total moment, μB/atom: 0.01
Space group: R3m
Volume, Å³ per atom: 41.15
E_tot, eV/cell: -10.5



[3]
This record from the Alexandria database describes an optimized crystal structure of Cs3H2Br. The functional is PBE.

```
Cs3H2Br
1.0
-4.084 6.621 4.524
4.084 -6.621 4.524
4.084 6.621 -4.524
Cs H Br
6 4 2
Direct
0.000 0.234 0.234
0.000 0.766 0.766
0.500 0.000 0.000
0.500 0.234 0.734
0.500 0.500 0.500
0.500 0.766 0.266
0.287 0.714 0.573
0.358 0.286 0.073
0.642 0.714 0.927
0.713 0.286 0.427
0.172 0.922 0.250
0.828 0.078 0.750
```

Total moment, μB/atom: 0.00
Space group: Imma
Volume, Å³ per atom: 40.78
E_tot, eV/cell: -29.3



[4]
This record from the Alexandria database describes an optimized crystal structure of Cs4H3Br. The functional is PBE.

```
Cs4H3Br
1.0
4.680 0.000 0.000
0.000 6.872 0.000
0.000 0.000 9.542
Cs H Br
4 3 1
Direct
0.000 0.000 0.000
0.000 0.000 0.500
0.500 0.500 0.219
0.500 0.500 0.781
0.000 0.500 0.000
0.500 0.000 0.238
0.500 0.000 0.762
0.000 0.500 0.500
```

Total moment, μB/atom: 0.00
Space group: Pmmm
Volume, Å³ per atom: 38.36
E_tot, eV/cell: -19.5



[5]
This record from the Alexandria database describes an optimized crystal structure of Cs8HBr6. The functional is PBE.

```
Cs8HBr6
1.0
13.175 0.000 0.000
-6.588 11.410 0.000
0.000 0.000 5.525
Cs H Br
8 1 6
Direct
0.036 0.328 0.238
0.293 0.964 0.238
0.328 0.293 0.762
0.333 0.667 0.753
0.667 0.333 0.247
0.672 0.707 0.238
0.707 0.036 0.762
0.964 0.672 0.762
0.000 0.000 0.000
0.128 0.653 0.258
0.347 0.475 0.258
0.475 0.128 0.742
0.525 0.872 0.258
0.653 0.525 0.742
0.872 0.347 0.742
```

Total moment, μB/atom: 0.00
Space group: P-3
Volume, Å³ per atom: 55.37
E_tot, eV/cell: -39.9



[6]
This record from the Alexandria database describes an optimized crystal structure of Cs2H3Br. The functional is PBE.

```
Cs2H3Br
1.0
5.107 -5.065 0.000
5.107 5.065 0.000
-5.027 0.000 7.785
Cs H Br
4 6 2
Direct
0.047 0.370 0.228
0.370 0.047 0.728
0.630 0.953 0.272
0.953 0.630 0.772
0.261 0.595 0.616
0.338 0.662 0.750
0.405 0.739 0.884
0.595 0.261 0.116
0.662 0.338 0.250
0.739 0.405 0.384
0.122 0.878 0.250
0.878 0.122 0.750
```

Total moment, μB/atom: 0.00
Space group: C2/c
Volume, Å³ per atom: 33.56
E_tot, eV/cell: -34.0



[7]
This record from the Alexandria database describes an optimized crystal structure of Cs4H3Br4. The functional is PBE.

```
Cs4H3Br4
1.0
14.619 0.000 0.000
0.000 2.846 5.791
0.000 -2.846 5.791
Cs H Br
4 3 4
Direct
0.000 0.000 0.000
0.249 0.691 0.691
0.500 0.996 0.996
0.751 0.691 0.691
0.258 0.387 0.387
0.500 0.289 0.289
0.742 0.387 0.387
0.000 0.688 0.688
0.250 0.002 0.002
0.500 0.687 0.687
0.750 0.002 0.002
```

Total moment, μB/atom: 0.27
Space group: Amm2
Volume, Å³ per atom: 43.81
E_tot, eV/cell: -27.5



[8]
This record from the Alexandria database describes an optimized crystal structure of CsHBr3. The functional is PBE.

```
CsHBr3
1.0
5.158 0.000 0.000
0.000 5.158 0.000
0.000 0.000 5.158
Cs H Br
1 1 3
Direct
0.000 0.000 0.000
0.500 0.500 0.500
0.000 0.500 0.500
0.500 0.000 0.500
0.500 0.500 0.000
```

Total moment, μB/atom: 0.20
Space group: Pm-3m
Volume, Å³ per atom: 27.44
E_tot, eV/cell: -10.3